one | First-principles (PBE-GGA) data for Tc2AsCl after structural relaxation, as listed in the Alexandria database.

Output
- calculated density (kg/m³) = 8401

Cell and atoms, written as POSCAR:
```
Tc2AsCl
1.0
2.9828 0.0000 0.0000
-1.4914 2.5832 0.0000
0.0000 0.0000 23.5774
Tc As Cl
6 3 3
direct
0.0000 0.0000 0.2469 Tc
0.0000 0.0000 0.7531 Tc
0.3333 0.6667 0.4197 Tc
0.3333 0.6667 0.9136 Tc
0.6667 0.3333 0.0864 Tc
0.6667 0.3333 0.5803 Tc
0.0000 0.0000 0.5000 As
0.3333 0.6667 0.1667 As
0.6667 0.3333 0.8333 As
0.0000 0.0000 0.0000 Cl
0.3333 0.6667 0.6667 Cl
0.6667 0.3333 0.3333 Cl
```


two | First-principles (PBE-GGA) data for Tc2AsCl after structural relaxation, as listed in the Alexandria database.

Output
- calculated density (kg/m³) = 8040

Cell and atoms, written as POSCAR:
```
Tc2AsCl
1.0
2.9374 0.0000 0.0000
0.0000 4.0599 0.0000
0.0000 0.0000 10.6115
Tc As Cl
4 2 2
direct
0.0000 0.0000 0.0000 Tc
0.0000 0.5000 0.2779 Tc
0.5000 0.0000 0.7779 Tc
0.5000 0.5000 0.5000 Tc
0.0000 0.5000 0.7041 As
0.5000 0.0000 0.2041 As
0.0000 0.0000 0.4716 Cl
0.5000 0.5000 0.9716 Cl
```


If we sort the structures by their calculated energies, the order from most to least stable is one, two.


one | First-principles (PBE-GGA) data for Tc2AsCl after structural relaxation, as listed in the Alexandria database.

Output
- calculated density (kg/m³) = 6728

Cell and atoms, written as POSCAR:
```
Tc2AsCl
1.0
2.9084 0.0000 0.0000
0.0000 2.9084 0.0000
0.0000 0.0000 8.9395
Tc As Cl
2 1 1
direct
0.0000 0.0000 0.0000 Tc
0.5000 0.5000 0.1887 Tc
0.0000 0.0000 0.3833 As
0.5000 0.5000 0.8141 Cl
```


two | First-principles (PBE-GGA) data for Tc2AsCl after structural relaxation, as listed in the Alexandria database.

Output
- calculated density (kg/m³) = 8683

Cell and atoms, written as POSCAR:
```
Tc2AsCl
1.0
6.1654 0.0000 0.0000
0.0000 6.1654 0.0000
0.0000 0.0000 6.1654
Tc As Cl
8 4 4
direct
0.2500 0.2500 0.2500 Tc
0.2500 0.2500 0.7500 Tc
0.2500 0.7500 0.2500 Tc
0.2500 0.7500 0.7500 Tc
0.7500 0.2500 0.2500 Tc
0.7500 0.2500 0.7500 Tc
0.7500 0.7500 0.2500 Tc
0.7500 0.7500 0.7500 Tc
0.0000 0.0000 0.0000 As
0.0000 0.5000 0.5000 As
0.5000 0.0000 0.5000 As
0.5000 0.5000 0.0000 As
0.0000 0.0000 0.5000 Cl
0.0000 0.5000 0.0000 Cl
0.5000 0.0000 0.0000 Cl
0.5000 0.5000 0.5000 Cl
```


If we sort the structures by their calculated energies, the order from most to least stable is one, two.


one | First-principles (PBE-GGA) data for Tc2AsCl after structural relaxation, as listed in the Alexandria database.

Output
- calculated density (kg/m³) = 8137

Cell and atoms, written as POSCAR:
```
Tc2AsCl
1.0
10.4237 0.0000 0.0000
0.0000 2.9730 0.0000
-0.6403 0.0000 4.0348
Tc As Cl
4 2 2
direct
0.0000 0.0000 0.0000 Tc
0.2310 0.5000 0.2404 Tc
0.5000 0.5000 0.0000 Tc
0.7310 0.0000 0.2404 Tc
0.4349 0.0000 0.4472 As
0.9349 0.5000 0.4472 As
0.1965 0.0000 0.7680 Cl
0.6965 0.5000 0.7680 Cl
```


two | First-principles (PBE-GGA) data for Tc2AsCl after structural relaxation, as listed in the Alexandria database.

Output
- calculated density (kg/m³) = 7926

Cell and atoms, written as POSCAR:
```
Tc2AsCl
1.0
3.0140 0.0000 0.0000
0.0000 5.2751 0.0000
0.0000 0.0000 8.0740
Tc As Cl
4 2 2
direct
0.0000 0.0000 0.2368 Tc
0.0000 0.0000 0.7632 Tc
0.5000 0.5000 0.2368 Tc
0.5000 0.5000 0.7632 Tc
0.0000 0.5000 0.0000 As
0.5000 0.0000 0.0000 As
0.0000 0.5000 0.5000 Cl
0.5000 0.0000 0.5000 Cl
```


If we sort the structures by their calculated energies, the order from most to least stable is one, two.


one | First-principles (PBE-GGA) data for Tc2AsCl after structural relaxation, as listed in the Alexandria database.

Output
- calculated density (kg/m³) = 7827

Cell and atoms, written as POSCAR:
```
Tc2AsCl
1.0
2.8910 0.0000 0.0000
0.0000 4.0704 0.0000
0.0000 0.0000 5.5237
Tc As Cl
2 1 1
direct
0.0000 0.0000 0.0000 Tc
0.5000 0.0000 0.5000 Tc
0.0000 0.5000 0.5000 As
0.5000 0.5000 0.0000 Cl
```


two | First-principles (PBE-GGA) data for Tc2AsCl after structural relaxation, as listed in the Alexandria database.

Output
- calculated density (kg/m³) = 7975

Cell and atoms, written as POSCAR:
```
Tc2AsCl
1.0
6.3426 0.0000 0.0000
0.0000 6.3426 0.0000
0.0000 0.0000 6.3426
Tc As Cl
8 4 4
direct
0.0000 0.0000 0.0000 Tc
0.0000 0.5000 0.5000 Tc
0.2500 0.2500 0.2500 Tc
0.2500 0.7500 0.7500 Tc
0.5000 0.0000 0.5000 Tc
0.5000 0.5000 0.0000 Tc
0.7500 0.2500 0.7500 Tc
0.7500 0.7500 0.2500 Tc
0.0000 0.0000 0.5000 As
0.0000 0.5000 0.0000 As
0.5000 0.0000 0.0000 As
0.5000 0.5000 0.5000 As
0.2500 0.2500 0.7500 Cl
0.2500 0.7500 0.2500 Cl
0.7500 0.2500 0.2500 Cl
0.7500 0.7500 0.7500 Cl
```


three | First-principles (PBE-GGA) data for Tc2AsCl after structural relaxation, as listed in the Alexandria database.

Output
- calculated density (kg/m³) = 8053

Cell and atoms, written as POSCAR:
```
Tc2AsCl
1.0
7.8843 0.0000 0.0000
0.0000 3.0279 0.0000
-1.3454 0.0000 5.2927
Tc As Cl
4 2 2
direct
0.2472 0.0000 0.2152 Tc
0.2528 0.5000 0.7847 Tc
0.7472 0.5000 0.2152 Tc
0.7528 0.0000 0.7847 Tc
0.0000 0.5000 0.0000 As
0.5000 0.0000 0.0000 As
0.0000 0.0000 0.5000 Cl
0.5000 0.5000 0.5000 Cl
```


If we sort the structures by their calculated energies, the order from most to least stable is three, one, two.


one | First-principles (PBE-GGA) data for Tc2AsCl after structural relaxation, as listed in the Alexandria database.

Output
- calculated density (kg/m³) = 8236

Cell and atoms, written as POSCAR:
```
Tc2AsCl
1.0
3.0862 0.0000 0.0000
0.0000 3.0862 0.0000
0.0000 0.0000 6.4856
Tc As Cl
2 1 1
direct
0.0000 0.0000 0.2124 Tc
0.0000 0.0000 0.7876 Tc
0.5000 0.5000 0.0000 As
0.5000 0.5000 0.5000 Cl
```


two | First-principles (PBE-GGA) data for Tc2AsCl after structural relaxation, as listed in the Alexandria database.

Output
- calculated density (kg/m³) = 7536

Cell and atoms, written as POSCAR:
```
Tc2AsCl
1.0
3.1485 0.0000 0.0000
0.0000 3.1573 0.0000
-0.0083 0.0000 6.7910
Tc As Cl
2 1 1
direct
0.0005 0.0000 0.1895 Tc
0.9995 0.0000 0.8105 Tc
0.5000 0.5000 0.0000 As
0.0000 0.5000 0.5000 Cl
```


three | First-principles (PBE-GGA) data for Tc2AsCl after structural relaxation, as listed in the Alexandria database.

Output
- calculated density (kg/m³) = 6472

Cell and atoms, written as POSCAR:
```
Tc2AsCl
1.0
2.9528 0.0000 0.0000
0.0000 3.8826 0.0000
-0.3911 0.0000 6.8565
Tc As Cl
2 1 1
direct
0.0000 0.0000 0.0000 Tc
0.4682 0.5000 0.8363 Tc
0.5125 0.5000 0.1871 As
0.0799 0.0000 0.6556 Cl
```


If we sort the structures by their calculated energies, the order from most to least stable is three, two, one.


one | First-principles (PBE-GGA) data for Tc2AsCl after structural relaxation, as listed in the Alexandria database.

Output
- calculated density (kg/m³) = 7819

Cell and atoms, written as POSCAR:
```
Tc2AsCl
1.0
2.9095 0.0000 0.0000
0.0000 5.5120 0.0000
0.0000 0.0000 8.1148
Tc As Cl
4 2 2
direct
0.0000 0.0000 0.2451 Tc
0.0000 0.0000 0.7549 Tc
0.5000 0.5000 0.2549 Tc
0.5000 0.5000 0.7451 Tc
0.0000 0.5000 0.5000 As
0.5000 0.0000 0.0000 As
0.0000 0.5000 0.0000 Cl
0.5000 0.0000 0.5000 Cl
```


two | First-principles (PBE-GGA) data for Tc2AsCl after structural relaxation, as listed in the Alexandria database.

Output
- calculated density (kg/m³) = 6429

Cell and atoms, written as POSCAR:
```
Tc2AsCl
1.0
5.5209 0.0000 0.0000
0.0000 5.5209 0.0000
0.0000 0.0000 10.3856
Tc As Cl
8 4 4
direct
0.2315 0.2500 0.1250 Tc
0.2500 0.7315 0.3750 Tc
0.2500 0.7685 0.8750 Tc
0.2685 0.2500 0.6250 Tc
0.7315 0.7500 0.6250 Tc
0.7500 0.2315 0.8750 Tc
0.7500 0.2685 0.3750 Tc
0.7685 0.7500 0.1250 Tc
0.0000 0.0000 0.5000 As
0.0000 0.5000 0.7500 As
0.5000 0.0000 0.2500 As
0.5000 0.5000 0.0000 As
0.0000 0.0000 0.0000 Cl
0.0000 0.5000 0.2500 Cl
0.5000 0.0000 0.7500 Cl
0.5000 0.5000 0.5000 Cl
```


If we sort the structures by their calculated energies, the order from most to least stable is one, two.